# 1
DFT (PBEsol) results for an optimized crystal structure of TaIn2Hg.

The structure in POSCAR format:
```
TaIn2Hg
1.0
-1.056 0.648 2.865
-0.510 -5.121 0.970
5.320 0.705 0.102
Ta Hg In
1 1 2
Direct
0.000 0.500 0.000
0.500 0.000 0.000
0.744 0.738 0.489
0.256 0.262 0.511
```

Calculated volume   20.414 Å³ per atom
Magnetization   0.00 μB per formula unit
Energy of formation from the pure elements   1.101 eV per formula unit
Energy   -18.0 eV per cell
Space group   No. 12

---

# 2
DFT (PBEsol) results for an optimized crystal structure of TaIn2Hg.

The structure in POSCAR format:
```
TaIn2Hg
1.0
-1.962 -2.353 0.334
1.056 -1.575 -4.886
4.229 -0.966 3.812
In Ta Hg
2 1 1
Direct
0.004 0.076 0.008
0.238 0.656 0.475
0.495 0.593 0.991
0.763 0.175 0.526
```

Calculated volume   20.256 Å³ per atom
Magnetization   0.00 μB per formula unit
Energy of formation from the pure elements   0.570 eV per formula unit
Energy   -18.5 eV per cell
Space group   No. 8

---

# 3
DFT (PBEsol) results for an optimized crystal structure of TaInHg2.

The structure in POSCAR format:
```
TaInHg2
1.0
2.962 0.000 0.000
0.000 5.256 0.000
0.000 0.000 5.274
Hg In Ta
2 1 1
Direct
0.000 0.000 0.000
0.500 0.000 0.500
0.500 0.500 0.000
0.000 0.500 0.500
```

Calculated volume   20.529 Å³ per atom
Magnetization   0.00 μB per formula unit
Energy of formation from the pure elements   1.266 eV per formula unit
Energy   -15.4 eV per cell
Space group   No. 47

---

# 4
DFT (PBEsol) results for an optimized crystal structure of TaInHg2.

The structure in POSCAR format:
```
TaInHg2
1.0
3.105 0.000 0.000
1.552 2.689 0.000
1.552 0.896 9.810
Ta In Hg
1 1 2
Direct
0.000 0.000 0.000
0.500 0.500 0.500
0.746 0.746 0.761
0.254 0.254 0.239
```

Calculated volume   20.473 Å³ per atom
Magnetization   0.00 μB per formula unit
Energy of formation from the pure elements   0.965 eV per formula unit
Energy   -15.7 eV per cell
Space group   No. 166

---

# 5
DFT (PBEsol) results for an optimized crystal structure of TaInHg3.

The structure in POSCAR format:
```
TaInHg3
1.0
5.321 0.000 0.000
0.000 5.321 0.000
0.000 0.000 5.321
Hg In Ta
3 1 1
Direct
0.000 0.500 0.000
0.500 0.000 0.000
0.000 0.000 0.500
0.500 0.500 0.500
0.000 0.000 0.000
```

Calculated volume   30.127 Å³ per atom
Magnetization   0.01 μB per formula unit
Energy of formation from the pure elements   4.173 eV per formula unit
Energy   -13.1 eV per cell
Space group   No. 221

---

# 6
DFT (PBEsol) results for an optimized crystal structure of Ta2InHg.

The structure in POSCAR format:
```
Ta2InHg
1.0
-1.460 -0.931 -3.720
-1.835 -3.325 1.553
-2.003 4.531 1.915
Ta In Hg
2 1 1
Direct
0.750 0.250 0.500
0.000 0.000 0.000
0.250 0.750 0.500
0.500 0.500 0.000
```

Calculated volume   18.722 Å³ per atom
Magnetization   0.00 μB per formula unit
Energy of formation from the pure elements   1.209 eV per formula unit
Energy   -27.4 eV per cell
Space group   No. 119

---

# 7
DFT (PBEsol) results for an optimized crystal structure of TaInHg.

The structure in POSCAR format:
```
TaInHg
1.0
2.938 0.000 0.000
0.000 4.791 0.000
0.000 -2.395 4.149
In Hg Ta
1 1 1
Direct
0.829 0.333 0.667
0.839 0.000 0.000
0.332 0.667 0.333
```

Calculated volume   19.466 Å³ per atom
Magnetization   0.00 μB per formula unit
Energy of formation from the pure elements   1.256 eV per formula unit
Energy   -14.8 eV per cell
Space group   No. 156

---

# 8
DFT (PBEsol) results for an optimized crystal structure of InTc2Hg.

The structure in POSCAR format:
```
InTc2Hg
1.0
2.945 0.000 0.000
0.000 4.837 -0.013
-1.472 -1.165 4.753
Tc In Hg
2 1 1
Direct
0.981 0.989 0.963
0.270 0.761 0.541
0.738 0.234 0.476
0.510 0.516 0.020
```

Offset from the most stable computed form   0 meV per atom
Calculated volume   16.915 Å³ per atom
Magnetization   0.00 μB per formula unit
Energy of formation from the pure elements   1.740 eV per formula unit
Energy   -24.3 eV per cell
Space group   No. 8

---

# 9
DFT (PBEsol) results for an optimized crystal structure of InTc2Hg.

The structure in POSCAR format:
```
InTc2Hg
1.0
2.804 -0.001 0.000
-0.972 2.630 0.000
0.000 0.000 9.156
Tc In Hg
2 1 1
Direct
0.000 0.000 0.755
0.000 0.000 0.245
0.500 0.500 0.000
0.500 0.500 0.500
```

Offset from the most stable computed form   192 meV per atom
Calculated volume   16.883 Å³ per atom
Magnetization   0.00 μB per formula unit
Energy of formation from the pure elements   2.507 eV per formula unit
Energy   -23.6 eV per cell
Space group   No. 65

---

# 10
DFT (PBEsol) results for an optimized crystal structure of In2TcHg.

The structure in POSCAR format:
```
In2TcHg
1.0
-3.875 -1.158 0.849
1.405 -2.541 2.947
0.912 5.082 1.042
In Tc Hg
2 1 1
Direct
0.250 0.250 0.500
0.750 0.750 0.500
0.500 0.000 0.000
0.000 0.500 0.000
```

Calculated volume   18.724 Å³ per atom
Magnetization   0.63 μB per formula unit
Energy of formation from the pure elements   1.093 eV per formula unit
Energy   -16.7 eV per cell
Space group   No. 139

---

# 11
DFT (PBEsol) results for an optimized crystal structure of InTc2Hg.

The structure in POSCAR format:
```
InTc2Hg
1.0
4.042 0.000 0.000
0.000 4.042 0.000
-2.021 -2.021 4.147
Hg Tc In
1 2 1
Direct
0.500 0.500 0.000
0.250 0.750 0.500
0.750 0.250 0.500
0.000 0.000 0.000
```

Offset from the most stable computed form   193 meV per atom
Calculated volume   16.934 Å³ per atom
Magnetization   2.69 μB per formula unit
Energy of formation from the pure elements   2.510 eV per formula unit
Energy   -23.6 eV per cell
Space group   No. 139

---

# 12
DFT (PBEsol) results for an optimized crystal structure of InTc2Hg.

The structure in POSCAR format:
```
InTc2Hg
1.0
-2.443 0.454 -1.801
-2.411 -3.205 2.463
0.922 4.728 2.558
Tc In Hg
2 1 1
Direct
0.253 0.253 0.505
0.747 0.747 0.495
0.000 0.500 0.000
0.500 0.000 0.000
```

Offset from the most stable computed form   161 meV per atom
Calculated volume   16.882 Å³ per atom
Magnetization   0.00 μB per formula unit
Energy of formation from the pure elements   2.382 eV per formula unit
Energy   -23.7 eV per cell
Space group   No. 71

---

# 13
DFT (PBEsol) results for an optimized crystal structure of In2TcHg.

The structure in POSCAR format:
```
In2TcHg
1.0
-1.525 -1.699 2.655
1.654 -3.960 -1.583
3.998 3.067 1.950
In Hg Tc
2 1 1
Direct
0.998 0.962 0.996
0.767 0.316 0.534
0.237 0.786 0.475
0.498 0.437 0.995
```

Calculated volume   19.028 Å³ per atom
Magnetization   0.00 μB per formula unit
Energy of formation from the pure elements   1.079 eV per formula unit
Energy   -16.7 eV per cell
Space group   No. 8

---

# 14
DFT (PBEsol) results for an optimized crystal structure of In2HgTe.

The structure in POSCAR format:
```
In2HgTe
1.0
-3.522 -1.940 1.062
-2.416 -1.681 -2.938
1.712 -7.574 -0.017
Hg In Te
1 2 1
Direct
0.500 0.500 0.500
0.248 0.248 0.257
0.752 0.752 0.743
0.000 0.000 0.000
```

Offset from the most stable computed form   0 meV per atom
Calculated volume   27.652 Å³ per atom
Magnetization   0.00 μB per formula unit
Energy   -10.7 eV per cell
Space group   No. 166

---

# 15
DFT (PBEsol) results for an optimized crystal structure of In2Hg2Te.

The structure in POSCAR format:
```
In2Hg2Te
1.0
-0.945 -3.942 -0.702
3.999 -0.968 0.049
-1.942 1.141 8.263
In Te Hg
2 1 2
Direct
0.596 0.596 0.193
0.404 0.404 0.807
0.000 0.000 0.000
0.250 0.750 0.500
0.750 0.250 0.500
```

Calculated volume   27.271 Å³ per atom
Magnetization   0.00 μB per formula unit
Energy   -10.8 eV per cell
Space group   No. 139

---

# 16
DFT (PBEsol) results for an optimized crystal structure of In2HgTe.

The structure in POSCAR format:
```
In2HgTe
1.0
4.028 0.000 0.000
0.000 4.531 0.000
-2.014 -2.266 5.973
In Te Hg
2 1 1
Direct
0.960 0.960 0.921
0.234 0.734 0.467
0.536 0.536 0.071
0.770 0.270 0.540
```

Offset from the most stable computed form   66 meV per atom
Calculated volume   27.257 Å³ per atom
Magnetization   0.00 μB per formula unit
Energy   -10.4 eV per cell
Space group   No. 44

---

# 17
DFT (PBEsol) results for an optimized crystal structure of In2HgTe.

The structure in POSCAR format:
```
In2HgTe
1.0
5.360 0.000 0.000
2.680 4.634 0.047
2.680 1.487 4.389
Te In Hg
1 2 1
Direct
0.000 0.500 0.500
0.250 0.750 0.750
0.750 0.250 0.250
0.500 0.000 0.000
```

Offset from the most stable computed form   97 meV per atom
Calculated volume   27.161 Å³ per atom
Magnetization   0.00 μB per formula unit
Energy   -10.3 eV per cell
Space group   No. 139

---

# 18
DFT (PBEsol) results for an optimized crystal structure of InHg2Te.

The structure in POSCAR format:
```
InHg2Te
1.0
4.245 0.000 0.000
2.122 3.676 0.000
2.122 1.225 7.029
Te Hg In
1 2 1
Direct
0.753 0.753 0.741
0.995 0.995 0.016
0.249 0.249 0.254
0.499 0.499 0.502
```

Offset from the most stable computed form   0 meV per atom
Calculated volume   27.419 Å³ per atom
Magnetization   0.00 μB per formula unit
Energy   -8.1 eV per cell
Space group   No. 160

---

# 19
DFT (PBEsol) results for an optimized crystal structure of In3HgTe.

The structure in POSCAR format:
```
In3HgTe
1.0
-0.186 -5.599 -1.186
-0.908 -1.143 5.537
-5.651 0.368 -0.851
In Hg Te
3 1 1
Direct
0.500 0.000 0.000
0.000 0.000 0.500
0.000 0.500 0.000
0.500 0.500 0.500
0.000 0.000 0.000
```

Calculated volume   37.553 Å³ per atom
Magnetization   0.00 μB per formula unit
Energy   -10.3 eV per cell
Space group   No. 221

---

# 20
DFT (PBEsol) results for an optimized crystal structure of InHg2Te.

The structure in POSCAR format:
```
InHg2Te
1.0
-0.480 1.737 -2.399
-1.008 -4.547 -3.091
-6.069 0.348 1.467
In Hg Te
1 2 1
Direct
0.500 0.500 0.000
0.000 0.000 0.250
0.000 0.000 0.750
0.500 0.500 0.500
```

Offset from the most stable computed form   133 meV per atom
Calculated volume   26.221 Å³ per atom
Magnetization   0.00 μB per formula unit
Energy   -7.5 eV per cell
Space group   No. 47

---

# 21
DFT (PBEsol) results for an optimized crystal structure of InHg2Te.

The structure in POSCAR format:
```
InHg2Te
1.0
-1.046 0.704 -3.023
-2.818 -1.262 -1.094
-6.754 8.609 2.567
Te Hg In
1 2 1
Direct
0.249 0.249 0.252
0.005 0.005 0.985
0.749 0.749 0.752
0.497 0.497 0.510
```

Offset from the most stable computed form   166 meV per atom
Calculated volume   25.735 Å³ per atom
Magnetization   0.00 μB per formula unit
Energy   -7.4 eV per cell
Space group   No. 160

---

# 22
DFT (PBEsol) results for an optimized crystal structure of In2HgTe.

The structure in POSCAR format:
```
In2HgTe
1.0
3.795 0.000 0.000
0.000 3.795 0.000
0.000 0.000 7.295
In Hg Te
2 1 1
Direct
0.000 0.000 0.750
0.000 0.000 0.250
0.500 0.500 0.500
0.500 0.500 0.000
```

Offset from the most stable computed form   70 meV per atom
Calculated volume   26.268 Å³ per atom
Magnetization   0.00 μB per formula unit
Energy   -10.4 eV per cell
Space group   No. 123

---

# 23
DFT (PBEsol) results for an optimized crystal structure of TlInHg2.

The structure in POSCAR format:
```
TlInHg2
1.0
-3.530 0.358 -0.606
-1.030 -3.205 4.110
2.151 5.579 1.457
Hg Tl In
2 1 1
Direct
0.748 0.248 0.497
0.011 0.011 0.022
0.253 0.753 0.505
0.488 0.488 0.976
```

Calculated volume   25.108 Å³ per atom
Magnetization   0.00 μB per formula unit
Energy of formation from the pure elements   -0.024 eV per formula unit
Energy   -6.8 eV per cell
Space group   No. 44

---

# 24
DFT (PBEsol) results for an optimized crystal structure of TlInHg2.

The structure in POSCAR format:
```
TlInHg2
1.0
-0.159 -1.482 2.876
5.889 -0.028 -0.903
-2.008 5.414 1.467
Tl Hg In
1 2 1
Direct
0.500 0.500 0.500
0.000 0.000 0.500
0.000 0.500 0.000
0.500 0.000 0.000
```

Calculated volume   25.220 Å³ per atom
Magnetization   0.00 μB per formula unit
Energy of formation from the pure elements   0.018 eV per formula unit
Energy   -6.7 eV per cell
Space group   No. 12

---

# 25
DFT (PBEsol) results for an optimized crystal structure of Tl2InHg.

The structure in POSCAR format:
```
Tl2InHg
1.0
3.593 0.000 0.000
0.000 3.593 0.000
0.000 0.000 8.129
Tl In Hg
2 1 1
Direct
0.500 0.500 0.269
0.000 0.000 0.989
0.500 0.500 0.729
0.000 0.000 0.513
```

Offset from the most stable computed form   0 meV per atom
Calculated volume   26.239 Å³ per atom
Magnetization   0.00 μB per formula unit
Energy of formation from the pure elements   -0.023 eV per formula unit
Energy   -8.8 eV per cell
Space group   No. 99

---

# 26
DFT (PBEsol) results for an optimized crystal structure of TlInHg2.

The structure in POSCAR format:
```
TlInHg2
1.0
-1.996 1.876 -2.011
-1.619 -2.808 -1.020
-5.677 0.915 6.490
In Hg Tl
1 2 1
Direct
0.000 0.000 0.518
0.500 0.500 0.753
0.000 0.000 0.985
0.500 0.500 0.244
```

Calculated volume   25.034 Å³ per atom
Magnetization   0.00 μB per formula unit
Energy of formation from the pure elements   0.001 eV per formula unit
Energy   -6.7 eV per cell
Space group   No. 99

---

# 27
DFT (PBEsol) results for an optimized crystal structure of TlInHg2.

The structure in POSCAR format:
```
TlInHg2
1.0
-3.838 -2.439 0.064
2.396 -3.746 0.952
0.237 3.980 4.202
Hg In Tl
2 1 1
Direct
0.000 0.000 0.000
0.750 0.250 0.500
0.500 0.500 0.000
0.250 0.750 0.500
```

Calculated volume   24.913 Å³ per atom
Magnetization   0.00 μB per formula unit
Energy of formation from the pure elements   -0.009 eV per formula unit
Energy   -6.8 eV per cell
Space group   No. 119

---

# 28
DFT (PBEsol) results for an optimized crystal structure of TlInHg2.

The structure in POSCAR format:
```
TlInHg2
1.0
3.477 0.000 0.000
1.739 3.011 0.000
1.739 1.004 9.646
Tl Hg In
1 2 1
Direct
0.000 0.000 0.000
0.247 0.247 0.258
0.753 0.753 0.742
0.500 0.500 0.500
```

Calculated volume   25.251 Å³ per atom
Magnetization   0.00 μB per formula unit
Energy of formation from the pure elements   -0.046 eV per formula unit
Energy   -6.8 eV per cell
Space group   No. 166

---

# 29
DFT (PBEsol) results for an optimized crystal structure of Tl2InHg.

The structure in POSCAR format:
```
Tl2InHg
1.0
3.352 0.046 -0.018
1.716 2.879 -0.018
1.630 0.941 10.953
Hg In Tl
1 1 2
Direct
0.500 0.500 0.500
0.000 0.000 0.000
0.248 0.248 0.255
0.752 0.752 0.745
```

Offset from the most stable computed form   25 meV per atom
Calculated volume   26.237 Å³ per atom
Magnetization   0.00 μB per formula unit
Energy of formation from the pure elements   0.078 eV per formula unit
Energy   -8.7 eV per cell
Space group   No. 12

---

# 30
DFT (PBEsol) results for an optimized crystal structure of Tl2InHg.

The structure in POSCAR format:
```
Tl2InHg
1.0
-0.794 -0.133 4.472
-4.321 -1.157 -0.801
3.849 -4.237 -1.752
Tl Hg In
2 1 1
Direct
0.750 0.250 0.500
0.000 0.000 0.000
0.500 0.500 0.000
0.250 0.750 0.500
```

Offset from the most stable computed form   26 meV per atom
Calculated volume   26.071 Å³ per atom
Magnetization   0.00 μB per formula unit
Energy of formation from the pure elements   0.080 eV per formula unit
Energy   -8.7 eV per cell
Space group   No. 119

---

# 31
DFT (PBEsol) results for an optimized crystal structure of TlInHg2.

The structure in POSCAR format:
```
TlInHg2
1.0
3.278 0.000 0.000
0.000 5.543 0.000
0.000 0.000 5.543
Hg Tl In
2 1 1
Direct
0.000 0.500 0.000
0.000 0.000 0.500
0.500 0.000 0.000
0.500 0.500 0.500
```

Calculated volume   25.180 Å³ per atom
Magnetization   0.00 μB per formula unit
Energy of formation from the pure elements   -0.046 eV per formula unit
Energy   -6.8 eV per cell
Space group   No. 123